First-principles (PBE) data for an optimized crystal structure of In2GaSb, as listed in Alexandria.

a b c (Å): 3.918 3.918 6.712
angles (deg): 90.00 90.00 90.00
Positions (direct):
1 In 0.000 0.000 0.244
2 In 0.000 0.000 0.756
3 Ga 0.500 0.500 0.000
4 Sb 0.500 0.500 0.500

- space-group type = P4/mmm
- crystal system = tetragonal
- DFT total energy (Ha/atom) = -0.1135
- energy above the lowest structure with this stoichiometry (eV per atom) = 0.017
- formation energy from raw total energies (eV/atom) = 0.068
- volume (Å³/cell) = 103

***

First-principles (PBE) data for an optimized crystal structure of Sm12ZnRu6, as listed in Alexandria.

a b c (Å): 8.315 8.315 8.315
angles (deg): 100.97 100.97 100.97
Positions (direct):
1 Sm 0.070 0.668 0.919
2 Sm 0.081 0.930 0.332
3 Sm 0.179 0.414 0.558
4 Sm 0.332 0.081 0.930
5 Sm 0.414 0.558 0.179
6 Sm 0.442 0.821 0.586
7 Sm 0.558 0.179 0.414
8 Sm 0.586 0.442 0.821
9 Sm 0.668 0.919 0.070
10 Sm 0.821 0.586 0.442
11 Sm 0.919 0.070 0.668
12 Sm 0.930 0.332 0.081
13 Zn 0.000 0.000 0.000
14 Ru 0.137 0.610 0.302
15 Ru 0.302 0.137 0.610
16 Ru 0.390 0.698 0.863
17 Ru 0.610 0.302 0.137
18 Ru 0.698 0.863 0.390
19 Ru 0.863 0.390 0.698

- space-group type = R-3
- crystal system = trigonal
- DFT total energy (Ha/atom) = -0.2231
- energy above the lowest structure with this stoichiometry (eV per atom) = 0.096
- formation energy (eV per formula unit) = -1.8
- volume (Å³/cell) = 539

***

First-principles (PBE) data for an optimized crystal structure of LiMgCu2I6, as listed in Alexandria.

a b c (Å): 9.417 9.417 7.426
angles (deg): 98.71 98.71 84.94
Positions (direct):
1 Li 0.236 0.764 0.750
2 Li 0.764 0.236 0.250
3 Mg 0.403 0.597 0.250
4 Mg 0.597 0.403 0.750
5 Cu 0.098 0.266 0.811
6 Cu 0.266 0.098 0.311
7 Cu 0.734 0.902 0.689
8 Cu 0.902 0.734 0.189
9 I 0.045 0.209 0.121
10 I 0.128 0.620 0.378
11 I 0.209 0.045 0.621
12 I 0.300 0.463 0.874
13 I 0.380 0.872 0.122
14 I 0.463 0.300 0.374
15 I 0.537 0.700 0.626
16 I 0.620 0.128 0.878
17 I 0.700 0.537 0.126
18 I 0.791 0.955 0.379
19 I 0.872 0.380 0.622
20 I 0.955 0.791 0.879

- space-group type = C2/c
- crystal system = monoclinic
- DFT total energy (Ha/atom) = -0.0984
- formation energy from raw total energies (eV/atom) = -0.577
- volume (Å³/cell) = 642

***

First-principles (PBE) data for an optimized crystal structure of YBHRu, as listed in Alexandria.

a b c (Å): 3.929 3.929 7.185
angles (deg): 90.00 90.00 90.00
Positions (direct):
1 Y 0.250 0.250 0.181
2 Y 0.750 0.750 0.819
3 B 0.250 0.250 0.612
4 B 0.750 0.750 0.388
5 H 0.250 0.750 0.000
6 H 0.750 0.250 0.000
7 Ru 0.250 0.750 0.500
8 Ru 0.750 0.250 0.500

- space-group type = P4/nmm
- crystal system = tetragonal
- DFT total energy (Ha/atom) = -0.2570
- volume (Å³/cell) = 111